{"formula": "MnCoMoAs", "functional": "PBE", "state": "relaxed", "cell": [[5.9700, 0.0000, 0.0000], [0.0000, 5.9700, 0.0000], [0.0000, 0.0000, 5.9700]], "species": ["Mn", "Mn", "Mn", "Mn", "Co", "Co", "Co", "Co", "Mo", "Mo", "Mo", "Mo", "As", "As", "As", "As"], "frac_coords": [[0.0000, 0.0000, 0.0000], [0.0000, 0.5000, 0.5000], [0.5000, 0.0000, 0.5000], [0.5000, 0.5000, 0.0000], [0.2500, 0.2500, 0.2500], [0.2500, 0.7500, 0.7500], [0.7500, 0.2500, 0.7500], [0.7500, 0.7500, 0.2500], [0.2500, 0.2500, 0.7500], [0.2500, 0.7500, 0.2500], [0.7500, 0.2500, 0.2500], [0.7500, 0.7500, 0.7500], [0.0000, 0.0000, 0.5000], [0.0000, 0.5000, 0.0000], [0.5000, 0.0000, 0.0000], [0.5000, 0.5000, 0.5000]], "m_tot_mub_per_atom": 0.752, "formation_energy_ev_per_atom": -0.0034, "volume_a3_per_atom": 13.3, "rho_g_cm3": 8.89, "sg": "F-43m, No. 216"}